Computed, not measured: SmTmCu after structural relaxation at the PBE-GGA level of DFT.

Output
Offset from the most stable computed form, meV per atom: 30
Energy of formation from the pure elements, eV per formula unit: -0.288

Cell and atoms, written as POSCAR:
```
SmTmCu
1.0
5.654 -2.229 0.000
5.654 2.229 0.000
-4.008 0.000 5.985
Sm Tm Cu
2 2 2
direct
0.085 0.085 0.354
0.915 0.915 0.646
0.330 0.330 0.935
0.670 0.670 0.065
0.365 0.365 0.345
0.635 0.635 0.655
```